Entry 1:
First-principles (GGA-PBE) data for Er2MgHg8 after structural relaxation, as listed in Alexandria via LeMat-Bulk.

Energy of formation from the pure elements   -0.25 eV per atom
ΔE to the lowest computed polymorph   0.000 eV/atom
Crystal system   tetragonal
Calculated volume   268.51 Å³/cell
Mass density   12.14 Mg/m³
DOS(E_F)   6.16 states/eV/cell
SG   No. 123
Total DFT energy (no corrections)   -1.4392 eV/atom

Cell and atoms, written as extended XYZ:
```
11
Lattice="-4.254 -1.428 -0.821 1.411 -1.986 -3.856 2.405 -10.892 6.490" Properties=species:S:1:pos:R:3 pbc="T T T"
Hg -0.925 -6.160 2.835
Hg -1.795 -2.218 0.486
Hg 1.908 -6.439 1.317
Hg -0.653 -5.188 -0.264
Hg 0.214 -9.118 2.077
Hg 2.778 -10.381 3.666
Hg 1.037 -2.497 -1.032
Hg -0.054 -10.102 5.183
Er 0.757 -3.427 2.042
Er 1.648 -7.465 4.448
Mg 0.000 0.000 0.000
```

=====

Entry 2:
First-principles (GGA-PBE) data for TbCu2Ni after structural relaxation, as listed in Alexandria via LeMat-Bulk.

Energy of formation from the pure elements   -0.19 eV per atom
Crystal system   trigonal
Calculated volume   67.15 Å³/cell
Mass density   8.52 Mg/m³
DOS(E_F)   2.58 states/eV/cell
SG   No. 166
Total DFT energy (no corrections)   -4.8378 eV/atom

Cell and atoms, written as extended XYZ:
```
4
Lattice="-0.152 -1.337 -3.902 3.234 -1.980 -1.631 -0.684 -5.074 -0.418" Properties=species:S:1:pos:R:3 pbc="T T T"
Ni 1.199 -4.195 -2.976
Tb 0.000 0.000 0.000
Cu 2.029 -5.756 -4.657
Cu 0.368 -2.635 -1.295
```